# 1
## ThSbPdS (PBE)

Data for a relaxed ThSbPdS crystal.

Lattice parameters (Å, degrees): 4.628 4.628 8.470 90.00 90.00 90.00
Element x y z (fractional)
Th 0.250 0.250 0.196
Th 0.750 0.750 0.804
Sb 0.250 0.250 0.663
Sb 0.750 0.750 0.337
Pd 0.250 0.750 0.500
Pd 0.750 0.250 0.500
S 0.250 0.750 0.000
S 0.750 0.250 0.000

Raw formation energy (eV per atom): -1.20
N(E_F) (states/eV/atom): 0.825
Raw total energy (eV/cell): -51.4

---

# 2
## USbPdS (PBE)

Data for a relaxed USbPdS crystal.

Lattice parameters (Å, degrees): 4.448 4.448 8.507 90.00 90.00 90.00
Element x y z (fractional)
U 0.250 0.250 0.185
U 0.750 0.750 0.815
Sb 0.250 0.250 0.677
Sb 0.750 0.750 0.323
Pd 0.250 0.750 0.500
Pd 0.750 0.250 0.500
S 0.250 0.750 0.000
S 0.750 0.250 0.000

Raw formation energy (eV per atom): -0.78
N(E_F) (states/eV/atom): 2.251
Raw total energy (eV/cell): -55.7

---

# 3
## ScPd2S2 (PBE)

Data for a relaxed ScPd2S2 crystal.

Lattice parameters (Å, degrees): 6.801 6.801 3.633 90.00 90.00 90.00
Element x y z (fractional)
Sc 0.000 0.000 0.000
Sc 0.500 0.500 0.000
Pd 0.148 0.352 0.500
Pd 0.352 0.852 0.500
Pd 0.648 0.148 0.500
Pd 0.852 0.648 0.500
S 0.169 0.669 0.000
S 0.331 0.169 0.000
S 0.669 0.831 0.000
S 0.831 0.331 0.000

Raw formation energy (eV per atom): -0.66
N(E_F) (states/eV/atom): 0.893
Raw total energy (eV/cell): -56.6

---

# 4
## Sc4PdSe2S (PBE)

Data for a relaxed Sc4PdSe2S crystal.

Lattice parameters (Å, degrees): 6.636 3.762 6.722 90.00 108.71 90.00
Element x y z (fractional)
Sc 0.236 0.000 0.238
Sc 0.238 0.500 0.750
Sc 0.762 0.500 0.250
Sc 0.764 0.000 0.762
Pd 0.000 0.000 0.500
Se 0.500 0.000 0.000
Se 0.500 0.500 0.500
S 0.000 0.500 0.000

Raw formation energy (eV per atom): -1.42
N(E_F) (states/eV/atom): 0.572
Raw total energy (eV/cell): -53.0

---

# 5
## Sc4PdSeS2 (PBE)

Data for a relaxed Sc4PdSeS2 crystal.

Lattice parameters (Å, degrees): 6.513 3.700 6.650 90.00 108.33 90.00
Element x y z (fractional)
Sc 0.243 0.000 0.231
Sc 0.252 0.500 0.765
Sc 0.748 0.500 0.235
Sc 0.757 0.000 0.769
Pd 0.000 0.000 0.500
Se 0.500 0.500 0.500
S 0.000 0.500 0.000
S 0.500 0.000 0.000

Raw formation energy (eV per atom): -1.49
N(E_F) (states/eV/atom): 0.442
Raw total energy (eV/cell): -54.2

---

# 6
## ScTePdS2 (PBE)

Data for a relaxed ScTePdS2 crystal.

Lattice parameters (Å, degrees): 5.121 5.121 4.893 90.00 90.00 90.00
Element x y z (fractional)
Sc 0.000 0.000 0.000
Te 0.500 0.500 0.500
Pd 0.500 0.500 0.000
S 0.000 0.500 0.500
S 0.500 0.000 0.500

Raw formation energy (eV per atom): 0.24
N(E_F) (states/eV/atom): 0.795
Raw total energy (eV/cell): -21.7

---

# 7
## PdSeS4 (PBE)

Data for a relaxed PdSeS4 crystal.

Lattice parameters (Å, degrees): 4.998 5.735 5.741 76.13 75.40 72.50
Element x y z (fractional)
Pd 0.000 0.000 0.000
Se 0.000 0.500 0.500
S 0.156 0.373 0.903
S 0.156 0.894 0.382
S 0.844 0.106 0.618
S 0.844 0.627 0.097

Raw formation energy (eV per atom): -0.02
N(E_F) (states/eV/atom): 0.044
Raw total energy (eV/cell): -25.3

---

# 8
## PdSe3S (PBE)

Data for a relaxed PdSe3S crystal.

Lattice parameters (Å, degrees): 4.905 4.905 4.905 90.00 90.00 90.00
Element x y z (fractional)
Pd 0.000 0.000 0.000
Se 0.000 0.000 0.500
Se 0.000 0.500 0.000
Se 0.500 0.000 0.000
S 0.500 0.500 0.500

Raw formation energy (eV per atom): 0.77
N(E_F) (states/eV/atom): 1.287
ΔE to the lowest computed polymorph (meV per atom): 799
Raw total energy (eV/cell): -15.9